<one>
Here is crystalline Rb5Mg3 at its relaxed geometry from Alexandria via LeMat-Bulk. Energies are from PBE.

Geometry as POSCAR:
```
Rb5Mg3
1.0
11.7128 0.0055 0.0000
-5.8634 10.1396 0.0000
0.0000 0.0000 7.8963
Mg Rb
6 10
direct
0.0000 0.4106 0.7500
0.0000 0.5894 0.2500
0.4106 0.0000 0.7500
0.4105 0.4105 0.2500
0.5894 0.0000 0.2500
0.5895 0.5895 0.7500
0.9999 0.2515 0.2500
0.0001 0.7485 0.7500
0.2515 0.9999 0.2500
0.2516 0.2516 0.7500
0.3334 0.6666 0.0000
0.3334 0.6666 0.5000
0.6666 0.3334 0.0000
0.6666 0.3334 0.5000
0.7485 0.0001 0.7500
0.7484 0.7485 0.2500
```

=====

<two>
Here is crystalline Rb5Mg3 at its relaxed geometry from Alexandria via LeMat-Bulk. Energies are from PBE.

Geometry as POSCAR:
```
Rb5Mg3
1.0
6.0468 -6.2929 0.0000
6.0468 6.2929 0.0000
0.0000 0.0000 5.8990
Rb Mg
5 3
direct
0.0000 0.0000 0.0000
0.5000 0.0000 0.0000
0.0000 0.5000 0.0000
0.7180 0.7180 0.5000
0.2820 0.2820 0.5000
0.5000 0.5000 0.0000
0.7375 0.2625 0.5000
0.2625 0.7375 0.5000
```

=====

The structure with the least stability is <two>.

=====

<one>
Here is crystalline Rb2Mg3 at its relaxed geometry from Alexandria via LeMat-Bulk. Energies are from PBE.

Geometry as POSCAR:
```
Rb2Mg3
1.0
2.6170 -4.5328 0.0000
2.6170 4.5328 0.0000
0.0000 0.0000 10.7580
Rb Mg
2 3
direct
0.6667 0.3333 0.3025
0.3333 0.6667 0.6975
0.0000 0.0000 0.0000
0.6667 0.3333 0.9557
0.3333 0.6667 0.0443
```

=====

<two>
Here is crystalline Rb2Mg3 at its relaxed geometry from Alexandria via LeMat-Bulk. Energies are from PBE.

Geometry as POSCAR:
```
Rb2Mg3
1.0
0.0000 5.8942 10.0537
3.7359 0.0000 10.0537
3.7359 5.8942 0.0000
Rb Mg
4 6
direct
0.3906 0.5143 0.2848
0.8103 0.2848 0.5143
0.7357 0.8594 0.4397
0.9652 0.4397 0.8594
0.3002 0.4460 0.8752
0.3785 0.8752 0.4460
0.8040 0.9498 0.8715
0.3748 0.8715 0.9498
0.1204 0.8796 0.8796
0.3704 0.1296 0.1296
```

=====

The structure with the least stability is <two>.

=====

<one>
Here is crystalline Rb4Mg3 at its relaxed geometry from Alexandria via LeMat-Bulk. Energies are from PBE.

Geometry as POSCAR:
```
Rb4Mg3
1.0
-4.8000 5.3071 0.2719
-1.3159 -6.1928 3.3462
3.5262 2.8481 6.6577
Rb Mg
4 3
direct
0.0000 0.0000 0.2352
0.0000 0.0000 0.7648
0.6667 0.3333 0.5000
0.3333 0.6667 0.5000
0.0000 0.5000 0.0000
0.5000 0.5000 0.0000
0.5000 0.0000 0.0000
```

=====

<two>
Here is crystalline Rb4Mg3 at its relaxed geometry from Alexandria via LeMat-Bulk. Energies are from PBE.

Geometry as POSCAR:
```
Rb4Mg3
1.0
4.2831 0.0000 0.0000
0.0000 4.2831 0.0000
0.0000 0.0000 41.2079
Mg Rb
6 8
direct
0.0000 0.0000 0.0000
0.5000 0.5000 0.5000
0.0000 0.0000 0.7360
0.5000 0.5000 0.2360
0.0000 0.0000 0.2640
0.5000 0.5000 0.7640
0.0000 0.0000 0.8313
0.5000 0.5000 0.3313
0.0000 0.0000 0.1687
0.5000 0.5000 0.6687
0.0000 0.0000 0.5649
0.5000 0.5000 0.0649
0.0000 0.0000 0.4351
0.5000 0.5000 0.9351
```

=====

The structure with the least stability is <one>.

=====

<one>
Here is crystalline Rb3Mg4 at its relaxed geometry from Alexandria via LeMat-Bulk. Energies are from PBE.

Geometry as POSCAR:
```
Rb3Mg4
1.0
4.0962 -7.0948 0.0000
4.0962 7.0948 0.0000
0.0000 0.0000 6.0897
Rb Mg
3 4
direct
0.0000 0.5000 0.0000
0.5000 0.5000 0.0000
0.5000 0.0000 0.0000
0.0000 0.0000 0.2535
0.0000 0.0000 0.7465
0.6667 0.3333 0.5000
0.3333 0.6667 0.5000
```

=====

<two>
Here is crystalline Rb3Mg4 at its relaxed geometry from Alexandria via LeMat-Bulk. Energies are from PBE.

Geometry as POSCAR:
```
Rb3Mg4
1.0
5.8394 -11.5699 13.2372
1.0141 -14.4621 11.5328
-1.8411 11.5420 -14.3728
Rb Mg
3 4
direct
0.0000 0.0000 0.0000
0.6889 0.6889 0.0000
0.3111 0.3111 0.0000
0.8890 0.8890 0.0000
0.1110 0.1110 0.0000
0.5806 0.5806 0.0000
0.4194 0.4194 0.0000
```

=====

The structure with the least stability is <one>.

=====

<one>
Here is crystalline RbMg2Re at its relaxed geometry from Alexandria via LeMat-Bulk. Energies are from PBE.

Geometry as POSCAR:
```
RbMg2Re
1.0
-1.8217 -1.2507 4.6473
-5.0295 0.4394 0.9957
-2.8860 -4.2205 0.5818
Re Mg Rb
1 2 1
direct
0.5000 0.5000 0.5000
0.2500 0.2500 0.2500
0.7500 0.7500 0.7500
0.0000 0.0000 0.0000
```

=====

<two>
Here is crystalline RbMg2Re at its relaxed geometry from Alexandria via LeMat-Bulk. Energies are from PBE.

Geometry as POSCAR:
```
RbMg2Re
1.0
-5.7733 0.7311 -0.2770
-0.3872 -4.4673 -3.7196
-4.1529 -7.6606 5.0702
Re Mg Rb
2 4 2
direct
0.0000 0.0000 0.0000
0.7500 0.2500 0.5000
0.8749 0.1250 0.2500
0.8751 0.6250 0.2500
0.3750 0.1251 0.7500
0.8750 0.1249 0.7500
0.5000 0.5000 0.0000
0.2500 0.7500 0.5000
```

=====

The structure with the least stability is <two>.

=====

<one>
Here is crystalline RbMgRe at its relaxed geometry from Alexandria via LeMat-Bulk. Energies are from PBE.

Geometry as POSCAR:
```
RbMgRe
1.0
4.3304 -0.0010 -0.0024
-2.1650 3.7516 0.0002
-1.8388 -1.3091 13.1108
Rb Mg Re
2 2 2
direct
0.4797 0.8917 0.7725
0.0825 0.6603 0.1086
0.8758 0.0653 0.3206
0.0095 0.1437 0.5445
0.2826 0.7751 0.4433
0.6014 0.4333 0.4188
```

=====

<two>
Here is crystalline RbMgRe at its relaxed geometry from Alexandria via LeMat-Bulk. Energies are from PBE.

Geometry as POSCAR:
```
RbMgRe
1.0
4.3312 0.0005 -0.0002
2.1653 3.7515 -0.0018
0.0396 0.1302 12.8932
Rb Mg Re
2 2 2
direct
0.8356 0.8234 0.8289
0.1644 0.1766 0.1711
0.4991 0.5041 0.3869
0.5009 0.4959 0.6131
0.1668 0.1662 0.5131
0.8332 0.8338 0.4869
```

=====

<three>
Here is crystalline RbMgRe at its relaxed geometry from Alexandria via LeMat-Bulk. Energies are from PBE.

Geometry as POSCAR:
```
RbMgRe
1.0
4.4841 0.0000 0.0065
0.0000 3.7781 0.0000
-2.1813 0.0000 12.9439
Rb Mg Re
2 2 2
direct
0.1632 0.9209 0.8334
0.8368 0.4209 0.1666
0.4558 0.8973 0.4075
0.5442 0.3973 0.5925
0.0263 0.8956 0.5547
0.9737 0.3956 0.4453
```

=====

<four>
Here is crystalline RbMgRe at its relaxed geometry from Alexandria via LeMat-Bulk. Energies are from PBE.

Geometry as POSCAR:
```
RbMgRe
1.0
-1.1848 2.7086 1.2010
-2.7265 -2.2260 2.3298
9.7874 -1.6363 9.8334
Rb Mg Re
2 2 2
direct
0.8534 0.2481 0.1591
0.1466 0.7519 0.8409
0.5531 0.2512 0.6305
0.4469 0.7488 0.3695
0.9827 0.2496 0.4554
0.0173 0.7504 0.5446
```

=====

The structure with the least stability is <four>.